# LiCrSN2

LiCrSN2 after structural relaxation (PBE-GGA, Alexandria via LeMat-Bulk).

extended XYZ file:
```
5
Lattice="3.620 0.000 0.000 0.000 3.620 0.000 0.000 0.000 4.928" Properties=species:S:1:pos:R:3 pbc="T T T"
N 1.810 0.000 0.000
N 0.000 1.810 0.000
Li 1.810 1.810 2.464
Cr 0.000 0.000 0.000
S 0.000 0.000 2.464
```

ΔE to the lowest computed polymorph (kJ per mole of atoms): 0.0



# LiCrS2N

LiCrS2N after structural relaxation (PBE-GGA, Alexandria via LeMat-Bulk).

extended XYZ file:
```
5
Lattice="4.672 0.000 0.000 0.000 4.672 0.000 0.000 0.000 3.528" Properties=species:S:1:pos:R:3 pbc="T T T"
Li 2.336 2.336 1.764
N 0.000 0.000 1.764
S 2.336 0.000 0.000
Cr 0.000 0.000 0.000
S 0.000 2.336 0.000
```

ΔE to the lowest computed polymorph (kJ per mole of atoms): 0.0



# LiCrSN2

LiCrSN2 after structural relaxation (PBE-GGA, Alexandria via LeMat-Bulk).

extended XYZ file:
```
5
Lattice="3.570 0.000 0.000 0.000 3.570 0.000 0.000 0.000 4.686" Properties=species:S:1:pos:R:3 pbc="T T T"
N 1.785 0.000 0.000
Li 0.000 0.000 0.000
S 0.000 0.000 2.343
N 0.000 1.785 0.000
Cr 1.785 1.785 2.343
```

ΔE to the lowest computed polymorph (kJ per mole of atoms): 127.7



| no. | uncorrected formation energy (kcal/mol of atoms) | energy (eV per cell) |
| --- | --- | --- |
| 1 | 1.66 | -31.96 |
| 2 | -2.95 | -28.76 |
| 3 | 32.19 | -25.34 |